1.
InAgGe | PBE-GGA | optimized geometry

Unit cell a=4.095 b=4.208 c=7.582 alpha=90.02 beta=90.08 gamma=90.12
Space group P1 (No. 1)
Symmetry-distinct sites (fractional):
1 In 0.000 0.000 0.000
2 In 0.497 0.500 0.290
3 Ag 0.496 0.000 0.646
4 Ag 0.996 0.000 0.377
5 Ge 0.500 0.500 0.888
6 Ge 0.998 0.500 0.641

Output
- D(E_F): 2.4 states/eV/cell
- Crystal system: triclinic
- Energy relative to the elements: 0.1478 eV per atom
- Calculated total energy: -3.25 eV per atom



2.
Al2AgMo | PBE-GGA | optimized geometry

Unit cell a=2.8870 b=2.8870 c=26.9668 alpha=90.00 beta=90.00 gamma=120.00
Space group R-3m (No. 166, hexagonal axes)
Symmetry-distinct sites (fractional):
1 Al 0.0000 0.0000 0.2474
2 Ag 0.0000 0.0000 0.0000
3 Mo 0.0000 0.0000 0.5000

Output
- D(E_F): 9.9 states/eV/cell
- E above lowest polymorph: 74 meV per atom
- Crystal system: trigonal
- Energy relative to the elements: -0.0324 eV per atom
- Calculated total energy: -5.32 eV per atom



3.
YFeSi2Ni | PBE-GGA | optimized geometry

Unit cell a=3.892 b=3.892 c=9.836 alpha=90.00 beta=90.00 gamma=90.00
Space group I-4m2 (No. 119)
Symmetry-distinct sites (fractional):
1 Y 0.000 0.000 0.000
2 Fe 0.000 0.500 0.250
3 Si 0.000 0.000 0.373
4 Ni 0.000 0.500 0.750

Output
- D(E_F): 5.0 states/eV/cell
- Crystal system: tetragonal
- Formation energy from raw total energies: -0.76 eV/atom
- Calculated total energy: -7.07 eV per atom



4.
RbHfZr3 | PBE-GGA | optimized geometry

Unit cell a=5.422 b=5.422 c=5.422 alpha=90.00 beta=90.00 gamma=90.00
Space group Pm-3m (No. 221)
Symmetry-distinct sites (fractional):
1 Rb 0.000 0.000 0.000
2 Hf 0.500 0.500 0.500
3 Zr 0.000 0.500 0.500

Output
- D(E_F): 12.3 states/eV/cell
- E above lowest polymorph: 0 meV per atom
- Crystal system: cubic
- Energy relative to the elements: 1.1983 eV per atom
- Calculated total energy: -6.11 eV per atom